Computed, not measured: a geometry-optimized Li2TlReF8 structure at the GGA-PBE level of DFT.

V = 194.95 Å³/cell
Symmetry = P-3m1 (164)
Energy relative to the elements, uncorrected = -2.22 eV/atom

Cell: 5.347 5.347 7.872 Å, 90.00 90.00 120.00°
Last column: magnetic moment on the atom in μB.
Sites, in units of the cell vectors:
F (0.333, 0.667, 0.474)  -0.05
F (0.836, 0.672, 0.149)  0.05
F (0.667, 0.333, 0.526)  -0.05
F (0.836, 0.164, 0.149)  0.05
F (0.164, 0.836, 0.851)  0.05
F (0.164, 0.328, 0.851)  0.05
F (0.672, 0.836, 0.851)  0.05
F (0.328, 0.164, 0.149)  0.05
Li (0.667, 0.333, 0.302)  0.00
Li (0.333, 0.667, 0.698)  0.00
Tl (0.000, 0.000, 0.500)  -0.03
Re (0.000, 0.000, 0.000)  1.66

---

Computed, not measured: a geometry-optimized La2Pm5PrMg structure at the GGA-PBE level of DFT.

V = 624.25 Å³/cell
Symmetry = Cmc2_1 (36)
Energy of formation = 7.9 kJ/mol of atoms

Cell: 5.652 10.556 10.860 Å, 90.00 90.00 105.53°
Sites, in units of the cell vectors:
Pm (0.711, 0.422, 0.206)
Pm (0.500, 0.999, 0.758)
Pm (0.289, 0.578, 0.706)
Pm (0.384, 0.768, 0.008)
Pm (0.712, 0.424, 0.811)
Pm (0.014, 0.028, 0.008)
Pm (0.616, 0.232, 0.508)
Pm (0.288, 0.576, 0.311)
Pm (0.500, 0.001, 0.258)
Pm (0.986, 0.972, 0.508)
La (0.116, 0.232, 0.716)
La (0.116, 0.232, 0.301)
La (0.884, 0.768, 0.801)
La (0.884, 0.768, 0.216)
Pr (0.202, 0.404, 0.008)
Pr (0.798, 0.596, 0.508)
Mg (0.594, 0.188, 0.007)
Mg (0.406, 0.812, 0.507)

---

Computed, not measured: a geometry-optimized LaMnGa3 structure at the GGA-PBE level of DFT.

V = 102.76 Å³/cell
Symmetry = Pm-3m (221)
Energy of formation = -41.0 kJ/mol of atoms

Cell: 4.684 4.684 4.684 Å, 90.00 90.00 90.00°
Sites, in units of the cell vectors:
Ga (0.500, 0.000, 0.000)
Ga (0.000, 0.500, 0.000)
Ga (0.000, 0.000, 0.500)
Mn (0.000, 0.000, 0.000)
La (0.500, 0.500, 0.500)

---

Computed, not measured: a geometry-optimized Tb3Pr3SmZn2 structure at the GGA-PBE level of DFT.

V = 269.04 Å³/cell
Symmetry = P-62m (189)
Energy of formation = 0.8 kJ/mol of atoms

Cell: 3.650 9.225 9.225 Å, 120.00 90.00 90.00°
Sites, in units of the cell vectors:
Zn (0.500, 0.667, 0.333)
Zn (0.500, 0.333, 0.667)
Pr (0.500, 0.000, 0.686)
Pr (0.500, 0.314, 0.314)
Pr (0.500, 0.686, 0.000)
Tb (0.000, 0.000, 0.377)
Tb (0.000, 0.623, 0.623)
Tb (0.000, 0.377, 0.000)
Sm (0.000, 0.000, 0.000)

---

Computed, not measured: a geometry-optimized Pr2Sm3Co2 structure at the GGA-PBE level of DFT.

V = 190.42 Å³/cell
Symmetry = C2/m (12)
Energy of formation = -6.9 kJ/mol of atoms

Cell: 3.739 6.457 9.159 Å, 114.69 90.00 106.83°
Sites, in units of the cell vectors:
Co (0.823, 0.646, 0.756)
Co (0.177, 0.354, 0.244)
Sm (0.382, 0.765, 0.577)
Sm (0.618, 0.235, 0.423)
Sm (0.500, 0.000, 0.000)
Pr (0.172, 0.344, 0.804)
Pr (0.828, 0.656, 0.196)

---

Computed, not measured: a geometry-optimized CaMgScSn structure at the GGA-PBE level of DFT.

V = 100.21 Å³/cell
Symmetry = F-43m (216)
Energy of formation = -31.1 kJ/mol of atoms

Cell: 5.214 5.214 5.214 Å, 60.00 60.00 60.00°
Sites, in units of the cell vectors:
Sc (0.500, 0.500, 0.500)
Mg (0.750, 0.750, 0.750)
Ca (0.000, 0.000, 0.000)
Sn (0.250, 0.250, 0.250)

---

Computed, not measured: a geometry-optimized ScIn2Rh structure at the GGA-PBE level of DFT.

V = 78.26 Å³/cell
Symmetry = Pmmm (47)
Energy of formation = -38.9 kJ/mol of atoms

Cell: 4.139 4.227 4.473 Å, 90.00 90.00 90.00°
Sites, in units of the cell vectors:
Rh (0.500, 0.000, 0.500)
In (0.500, 0.500, 0.000)
In (0.000, 0.000, 0.000)
Sc (0.000, 0.500, 0.500)

---

Computed, not measured: a geometry-optimized Sn3Sb2 structure at the GGA-PBE level of DFT.

V = 318.85 Å³/cell
Symmetry = R-3c (167)
Energy relative to the elements, uncorrected = 0.14 eV/atom

Cell: 8.115 8.115 7.295 Å, 56.21 56.21 60.00°
Sites, in units of the cell vectors:
Sn (0.501, 0.999, 0.250)
Sn (0.750, 0.499, 0.750)
Sn (0.499, 0.001, 0.750)
Sn (0.001, 0.750, 0.750)
Sn (0.999, 0.250, 0.250)
Sn (0.250, 0.501, 0.250)
Sb (0.108, 0.108, 0.676)
Sb (0.892, 0.892, 0.324)
Sb (0.608, 0.608, 0.176)
Sb (0.392, 0.392, 0.824)